This record from the Alexandria database describes a relaxed CoBiO3 crystal. The functional is PBE with a Hubbard U.

Space-group type   P4mm, No. 99
Density   7.55 g/cm3
Total energy   -5.85 eV/atom

Geometry as POSCAR:
```
CoBiO3
1.0
3.763 0.000 0.000
0.000 3.763 0.000
0.000 0.000 4.908
Co Bi O
1 1 3
direct
0.000 0.000 0.000
0.500 0.500 0.577
0.000 0.000 0.355
0.000 0.500 0.838
0.500 0.000 0.838
```